No. 1
An optimized crystal structure of Ir2RuSF, computed with PBE-GGA.

The calculation puts the total DFT energy (no corrections) at -5.21 eV/atom. As for the total magnetization: 0.96 μB per formula unit. The value obtained for the raw formation energy is 1.394 eV/atom. Its energy above the most stable polymorph in this dataset is 663 meV/atom.

Lattice parameters (Å, degrees): 4.7882 4.7882 4.3885 90.00 90.00 90.00
Fractional coordinates of all 5 atoms:
Ir  0.0000  0.5000  0.0000
Ir  0.5000  0.0000  0.0000
Ru  0.0000  0.0000  0.0000
S  0.0000  0.0000  0.5000
F  0.5000  0.5000  0.5000

No. 2
An optimized crystal structure of Sr2LiCd3Pb4, computed with PBE-GGA.

The calculation puts the total DFT energy (no corrections) at -2.58 eV/atom. As for the total magnetization: 0.00 μB per formula unit. The calculation puts the formation enthalpy at 0 K at -293 meV/atom.

Lattice parameters (Å, degrees): 4.8354 4.8354 13.0206 90.00 90.00 90.00
Fractional coordinates of all 10 atoms:
Sr  0.0000  0.5000  0.2344
Sr  0.5000  0.0000  0.7656
Li  0.5000  0.5000  0.0000
Cd  0.0000  0.0000  0.0000
Cd  0.0000  0.5000  0.6485
Cd  0.5000  0.0000  0.3515
Pb  0.0000  0.0000  0.5000
Pb  0.0000  0.5000  0.8687
Pb  0.5000  0.0000  0.1313
Pb  0.5000  0.5000  0.5000

No. 3
An optimized crystal structure of Tb3Pr5Nd, computed with PBE-GGA.

The calculation puts the total DFT energy (no corrections) at -4.33 eV/atom. As for the total magnetization: 0.00 μB per formula unit. The calculation puts the formation enthalpy at 0 K at 394 meV/atom. Its energy above the most stable polymorph in this dataset is 127 meV/atom.

Lattice parameters (Å, degrees): 9.5447 9.5447 12.6019 127.04 127.04 52.56
Fractional coordinates of all 18 atoms:
Tb  0.0000  0.0000  0.0000
Tb  0.1028  0.1028  0.8102
Tb  0.3173  0.3173  0.1546
Tb  0.5000  0.5000  0.5000
Tb  0.6827  0.6827  0.8454
Tb  0.8972  0.8972  0.1898
Pr  0.1841  0.8159  0.5000
Pr  0.1899  0.1899  0.5534
Pr  0.2413  0.6359  0.7279
Pr  0.3585  0.3585  0.9190
Pr  0.3641  0.7587  0.2721
Pr  0.6359  0.2413  0.7279
Pr  0.6415  0.6415  0.0810
Pr  0.7587  0.3641  0.2721
Pr  0.8101  0.8101  0.4466
Pr  0.8159  0.1841  0.5000
Nd  0.2603  0.2603  0.3657
Nd  0.7397  0.7397  0.6343

Copy entry 3 word for word.
An optimized crystal structure of Tb3Pr5Nd, computed with PBE-GGA.

The calculation puts the total DFT energy (no corrections) at -4.33 eV/atom. As for the total magnetization: 0.00 μB per formula unit. The calculation puts the formation enthalpy at 0 K at 394 meV/atom. Its energy above the most stable polymorph in this dataset is 127 meV/atom.

Lattice parameters (Å, degrees): 9.5447 9.5447 12.6019 127.04 127.04 52.56
Fractional coordinates of all 18 atoms:
Tb  0.0000  0.0000  0.0000
Tb  0.1028  0.1028  0.8102
Tb  0.3173  0.3173  0.1546
Tb  0.5000  0.5000  0.5000
Tb  0.6827  0.6827  0.8454
Tb  0.8972  0.8972  0.1898
Pr  0.1841  0.8159  0.5000
Pr  0.1899  0.1899  0.5534
Pr  0.2413  0.6359  0.7279
Pr  0.3585  0.3585  0.9190
Pr  0.3641  0.7587  0.2721
Pr  0.6359  0.2413  0.7279
Pr  0.6415  0.6415  0.0810
Pr  0.7587  0.3641  0.2721
Pr  0.8101  0.8101  0.4466
Pr  0.8159  0.1841  0.5000
Nd  0.2603  0.2603  0.3657
Nd  0.7397  0.7397  0.6343